(1)
## Ba5MgTl4 (PBE)

Data for a relaxed Ba5MgTl4 crystal.

a = 4.297 Å, b = 4.297 Å, c = 21.675 Å
α = 90.00°, β = 90.00°, γ = 90.00°
Space group P4/mmm (No. 123)
Inequivalent atoms, fractional coordinates:
Ba 0.000 0.000 0.000
Ba 0.000 0.000 0.198
Ba 0.000 0.000 0.394
Mg 0.500 0.500 0.500
Tl 0.500 0.500 0.100
Tl 0.500 0.500 0.298

Calculated values
calculated formation energy: -337 meV/atom
VASP energy: -2.404 eV per atom
density: 6.34 Mg/m³

(2)
## DyEr6Mg2 (PBE)

Data for a relaxed DyEr6Mg2 crystal.

a = 6.5770 Å, b = 6.5770 Å, c = 21.5777 Å
α = 90.00°, β = 90.00°, γ = 120.00°
Space group R3 (No. 146, hexagonal axes)
Inequivalent atoms, fractional coordinates:
Dy 0.0000 0.0000 0.0000
Er 0.0024 0.5507 0.2125
Er 0.1280 0.3356 0.3892
Mg 0.0000 0.0000 0.1393
Mg 0.0000 0.0000 0.2723

Calculated values
calculated formation energy: 204 meV/atom
VASP energy: -3.704 eV per atom
density: 7.49 Mg/m³

(3)
## BeCu2Br6 (PBE)

Data for a relaxed BeCu2Br6 crystal.

a = 12.244 Å, b = 14.909 Å, c = 6.439 Å
α = 90.00°, β = 111.32°, γ = 90.00°
Space group C2/c (No. 15)
Inequivalent atoms, fractional coordinates:
Be 0.000 0.208 0.250
Cu 0.221 0.412 0.562
Br 0.103 0.280 0.553
Br 0.109 0.125 0.117
Br 0.169 0.445 0.181

Calculated values
VASP energy: -2.914 eV per atom
uncorrected formation energy: -0.4743 eV per atom
density: 3.73 Mg/m³

(4)
## RbCaTeI2 (PBE)

Data for a relaxed RbCaTeI2 crystal.

a = 6.212 Å, b = 6.212 Å, c = 6.129 Å
α = 90.00°, β = 90.00°, γ = 90.00°
Space group P4/mmm (No. 123)
Inequivalent atoms, fractional coordinates:
Rb 0.000 0.000 0.000
Ca 0.500 0.500 0.500
Te 0.500 0.500 0.000
I 0.000 0.500 0.500

Calculated values
VASP energy: -2.981 eV per atom
uncorrected formation energy: -1.1387 eV per atom
density: 3.56 Mg/m³

(5)
## ScReSe2 (PBE)

Data for a relaxed ScReSe2 crystal.

a = 3.2408 Å, b = 3.2408 Å, c = 28.3649 Å
α = 90.00°, β = 90.00°, γ = 120.00°
Space group R3m (No. 160, hexagonal axes)
Inequivalent atoms, fractional coordinates:
Sc 0.0000 0.0000 0.0000
Re 0.0000 0.0000 0.2533
Se 0.0000 0.0000 0.5284
Se 0.0000 0.0000 0.7345

Calculated values
VASP energy: -6.805 eV per atom
uncorrected formation energy: -0.3674 eV per atom
density: 7.51 Mg/m³

(6)
## Mg2NiAg (PBE)

Data for a relaxed Mg2NiAg crystal.

a = 3.065 Å, b = 3.065 Å, c = 6.978 Å
α = 90.00°, β = 90.00°, γ = 90.00°
Space group P4/mmm (No. 123)
Inequivalent atoms, fractional coordinates:
Mg 0.000 0.000 0.219
Ni 0.500 0.500 0.000
Ag 0.500 0.500 0.500

Calculated values
calculated formation energy: -189 meV/atom
VASP energy: -3.144 eV per atom
density: 5.45 Mg/m³

(7)
## RbBeCo2Te (PBE)

Data for a relaxed RbBeCo2Te crystal.

a = 4.792 Å, b = 4.792 Å, c = 4.957 Å
α = 90.00°, β = 90.00°, γ = 90.00°
Space group P4/mmm (No. 123)
Inequivalent atoms, fractional coordinates:
Rb 0.000 0.000 0.000
Be 0.000 0.000 0.500
Co 0.000 0.500 0.000
Te 0.500 0.500 0.500

Calculated values
VASP energy: -2.125 eV per atom
uncorrected formation energy: 2.2844 eV per atom
density: 4.96 Mg/m³

(8)
## SrGeB2Cl (PBE)

Data for a relaxed SrGeB2Cl crystal.

a = 4.128 Å, b = 4.128 Å, c = 6.440 Å
α = 90.00°, β = 90.00°, γ = 90.00°
Space group P4/mmm (No. 123)
Inequivalent atoms, fractional coordinates:
Sr 0.000 0.000 0.000
Ge 0.000 0.000 0.500
B 0.000 0.500 0.500
Cl 0.500 0.500 0.000

Calculated values
VASP energy: -3.910 eV per atom
uncorrected formation energy: 0.3897 eV per atom
density: 3.29 Mg/m³

Please write out number 8 again, unchanged.
## SrGeB2Cl (PBE)

Data for a relaxed SrGeB2Cl crystal.

a = 4.128 Å, b = 4.128 Å, c = 6.440 Å
α = 90.00°, β = 90.00°, γ = 90.00°
Space group P4/mmm (No. 123)
Inequivalent atoms, fractional coordinates:
Sr 0.000 0.000 0.000
Ge 0.000 0.000 0.500
B 0.000 0.500 0.500
Cl 0.500 0.500 0.000

Calculated values
VASP energy: -3.910 eV per atom
uncorrected formation energy: 0.3897 eV per atom
density: 3.29 Mg/m³

Q: Which of these has the lowest VASP energy?
A: ScReSe2